## SrErBi2 (PBE)

Data for a geometry-optimized SrErBi2 structure. Values from VASP.

```
&SYSTEM
  ibrav = 0, nat = 4, ntyp = 3
/
ATOMIC_SPECIES
Bi 208.98 Bi.upf
Sr 87.62 Sr.upf
Er 167.26 Er.upf
ATOMIC_POSITIONS crystal
Bi 0.2589 0.2589 0.2234
Bi 0.7411 0.7411 0.7766
Sr 0.5000 0.5000 0.5000
Er 0.0000 0.0000 0.0000
CELL_PARAMETERS angstrom
4.5246 0.0017 0.0215
2.2395 3.9315 0.0215
2.2376 1.3011 7.9605
```

Calculated values
Calculated formation energy in meV/atom: -744
Density of states at the Fermi level in states/eV per cell: 2.44
Space group: No. 12
Energy relative to the lowest polymorph listed for this composition in meV/atom: 0.0
Final energy in eV per atom: -4.246
Crystal system: monoclinic

***

## SrErBi2 (PBE)

Data for a geometry-optimized SrErBi2 structure. Values from VASP.

```
&SYSTEM
  ibrav = 0, nat = 4, ntyp = 3
/
ATOMIC_SPECIES
Bi 208.98 Bi.upf
Sr 87.62 Sr.upf
Er 167.26 Er.upf
ATOMIC_POSITIONS crystal
Bi 0.0000 0.0000 0.5000
Bi 0.0000 0.5000 0.0000
Sr 0.5000 0.5000 0.5000
Er 0.5000 0.0000 0.0000
CELL_PARAMETERS angstrom
3.5142 0.0000 0.0000
0.0000 6.0095 0.0000
0.0000 0.0000 6.0095
```

Calculated values
Calculated formation energy in meV/atom: -621
Density of states at the Fermi level in states/eV per cell: 1.87
Space group: No. 123
Energy relative to the lowest polymorph listed for this composition in meV/atom: 123.4
Final energy in eV per atom: -4.123
Crystal system: tetragonal

***

## SrErBi2 (PBE)

Data for a geometry-optimized SrErBi2 structure. Values from VASP.

```
&SYSTEM
  ibrav = 0, nat = 4, ntyp = 3
/
ATOMIC_SPECIES
Sr 87.62 Sr.upf
Bi 208.98 Bi.upf
Er 167.26 Er.upf
ATOMIC_POSITIONS crystal
Sr 0.5000 0.5000 0.5000
Bi 0.0000 0.0000 0.7726
Bi 0.0000 0.0000 0.2274
Er 0.5000 0.5000 0.0000
CELL_PARAMETERS angstrom
3.8620 0.0000 0.0000
0.0000 3.8620 0.0000
0.0000 0.0000 8.5959
```

Calculated values
Calculated formation energy in meV/atom: -656
Density of states at the Fermi level in states/eV per cell: 2.36
Space group: No. 123
Energy relative to the lowest polymorph listed for this composition in meV/atom: 88.6
Final energy in eV per atom: -4.157
Crystal system: tetragonal

***

What is the calculated formation energy in the first record?
-744 meV/atom

***

Which of these has the lowest energy relative to the lowest polymorph listed for this composition?
number 1